Computed, not measured: a geometry-optimized TaGe2Mo2 structure at the PBE-GGA level of DFT.

It has space group I4/mmm (No. 139), with a = 3.851 Å, b = 3.851 Å, c = 11.392 Å, α = 90.00°, β = 90.00° and γ = 90.00°. Symmetry generates all atoms from Ta at (0.000, 0.000, 0.000), Ge at (0.000, 0.000, 0.398) and Mo at (0.000, 0.500, 0.250).

The energy above the most stable polymorph in this dataset is 0.00 kcal/mol of atoms.

---

Computed, not measured: a geometry-optimized TcGe2Mo structure at the PBE-GGA level of DFT.

It has space group F-43m (No. 216), with a = 6.313 Å, b = 6.313 Å, c = 6.313 Å, α = 90.00°, β = 90.00° and γ = 90.00°. Symmetry generates all atoms from Tc at (0.000, 0.000, 0.000), Ge at (0.000, 0.000, 0.500), Ge at (0.250, 0.250, 0.750) and Mo at (0.250, 0.250, 0.250).

As for the total energy: -7.423 eV per atom.

---

Computed, not measured: a geometry-optimized TcGeMo2 structure at the PBE-GGA level of DFT.

It has space group F-43m (No. 216), with a = 6.233 Å, b = 6.233 Å, c = 6.233 Å, α = 90.00°, β = 90.00° and γ = 90.00°. Symmetry generates all atoms from Tc at (0.000, 0.000, 0.000), Ge at (0.250, 0.250, 0.750), Mo at (0.000, 0.000, 0.500) and Mo at (0.250, 0.250, 0.250).

As for the total energy: -9.127 eV per atom.

---

Computed, not measured: a geometry-optimized Ge2TeMo structure at the PBE-GGA level of DFT.

It has space group F-43m (No. 216), with a = 6.711 Å, b = 6.711 Å, c = 6.711 Å, α = 90.00°, β = 90.00° and γ = 90.00°. Symmetry generates all atoms from Ge at (0.000, 0.000, 0.000), Ge at (0.250, 0.250, 0.250), Te at (0.000, 0.000, 0.500) and Mo at (0.250, 0.250, 0.750).

As for the total energy: -5.267 eV per atom.

---

Computed, not measured: a geometry-optimized GeTeMo structure at the PBE-GGA level of DFT.

It has space group F-43m (No. 216), with a = 6.458 Å, b = 6.458 Å, c = 6.458 Å, α = 90.00°, β = 90.00° and γ = 90.00°. Symmetry generates all atoms from Ge at (0.000, 0.000, 0.000), Te at (0.000, 0.000, 0.500) and Mo at (0.250, 0.250, 0.250).

The energy above the most stable polymorph in this dataset is 0.00 kcal/mol of atoms.

---

Computed, not measured: a geometry-optimized GeTe2Mo2 structure at the PBE-GGA level of DFT.

It has space group I4/mmm (No. 139), with a = 5.114 Å, b = 5.114 Å, c = 8.729 Å, α = 90.00°, β = 90.00° and γ = 90.00°. Symmetry generates all atoms from Ge at (0.000, 0.000, 0.000), Te at (0.000, 0.500, 0.250) and Mo at (0.000, 0.000, 0.373).

The energy above the most stable polymorph in this dataset is 0.00 kcal/mol of atoms.

---

Computed, not measured: a geometry-optimized GeTe6Mo structure at the PBE-GGA level of DFT.

It has space group C2/m (No. 12), with a = 14.579 Å, b = 3.930 Å, c = 17.830 Å, α = 90.00°, β = 105.89° and γ = 90.00°. Symmetry generates all atoms from Ge at (0.222, 0.000, 0.408), Te at (0.087, 0.000, 0.117), Te at (0.092, 0.500, 0.260), Te at (0.122, 0.500, 0.458), Te at (0.135, 0.000, 0.653), Te at (0.173, 0.500, 0.021), Te at (0.189, 0.000, 0.820) and Mo at (0.230, 0.000, 0.260).

As for the total energy: -4.338 eV per atom.

---

Computed, not measured: a geometry-optimized GeTe2Mo structure at the PBE-GGA level of DFT.

It has space group F-43m (No. 216), with a = 6.953 Å, b = 6.953 Å, c = 6.953 Å, α = 90.00°, β = 90.00° and γ = 90.00°. Symmetry generates all atoms from Ge at (0.000, 0.000, 0.000), Te at (0.000, 0.000, 0.500), Te at (0.250, 0.250, 0.750) and Mo at (0.250, 0.250, 0.250).

As for the total energy: -4.686 eV per atom.

---

Computed, not measured: a geometry-optimized GeTeMo structure at the PBE-GGA level of DFT.

It has space group F-43m (No. 216), with a = 6.384 Å, b = 6.384 Å, c = 6.384 Å, α = 90.00°, β = 90.00° and γ = 90.00°. Symmetry generates all atoms from Ge at (0.000, 0.000, 0.000), Te at (0.250, 0.250, 0.250) and Mo at (0.250, 0.250, 0.750).

The energy above the most stable polymorph in this dataset is 11.25 kcal/mol of atoms.

---

Computed, not measured: a geometry-optimized Tl2GeMo structure at the PBE-GGA level of DFT.

It has space group F-43m (No. 216), with a = 7.022 Å, b = 7.022 Å, c = 7.022 Å, α = 90.00°, β = 90.00° and γ = 90.00°. Symmetry generates all atoms from Tl at (0.000, 0.000, 0.000), Tl at (0.250, 0.250, 0.250), Ge at (0.000, 0.000, 0.500) and Mo at (0.250, 0.250, 0.750).

As for the total energy: -4.162 eV per atom.

---

Computed, not measured: a geometry-optimized TlGeMo structure at the PBE-GGA level of DFT.

It has space group F-43m (No. 216), with a = 6.436 Å, b = 6.436 Å, c = 6.436 Å, α = 90.00°, β = 90.00° and γ = 90.00°. Symmetry generates all atoms from Tl at (0.000, 0.000, 0.000), Ge at (0.000, 0.000, 0.500) and Mo at (0.250, 0.250, 0.750).

The energy above the most stable polymorph in this dataset is 0.00 kcal/mol of atoms.

---

Computed, not measured: a geometry-optimized TmGeMo structure at the PBE-GGA level of DFT.

It has space group F-43m (No. 216), with a = 6.325 Å, b = 6.325 Å, c = 6.325 Å, α = 90.00°, β = 90.00° and γ = 90.00°. Symmetry generates all atoms from Tm at (0.000, 0.000, 0.000), Ge at (0.250, 0.250, 0.750) and Mo at (0.000, 0.000, 0.500).

As for the total energy: -6.609 eV per atom.

---

Computed, not measured: a geometry-optimized Tm2Ge4Mo3 structure at the PBE-GGA level of DFT.

It has space group P2_1/c (No. 14), with a = 6.962 Å, b = 7.019 Å, c = 6.860 Å, α = 90.00°, β = 109.32° and γ = 90.00°. Symmetry generates all atoms from Tm at (0.190, 0.171, 0.056), Ge at (0.091, 0.544, 0.857), Ge at (0.498, 0.637, 0.633), Mo at (0.247, 0.660, 0.248) and Mo at (0.500, 0.000, 0.500).

As for the total energy: -7.193 eV per atom.

---

Computed, not measured: a geometry-optimized TmGeMo structure at the PBE-GGA level of DFT.

It has space group F-43m (No. 216), with a = 6.650 Å, b = 6.650 Å, c = 6.650 Å, α = 90.00°, β = 90.00° and γ = 90.00°. Symmetry generates all atoms from Tm at (0.000, 0.000, 0.000), Ge at (0.250, 0.250, 0.750) and Mo at (0.250, 0.250, 0.250).

As for the total energy: -5.663 eV per atom.